Here is a relaxed structure of AcTb2Er2 from Alexandria. Energies are from PBE.

## Properties
E_form ... 0.156 eV/atom
Mass density ... 8.35 g cm⁻³
Calculated volume ... 35.0 Å³/atom

Cell and atoms, written as CIF:
```
data_AcTb2Er2
_chemical_formula_sum 'Ac4 Tb8 Er8'
_symmetry_space_group_name_H-M 'C m c 21'
_symmetry_Int_Tables_number 36
_symmetry_space_group_name_Hall 'C 2c -2'
_cell_length_a 3.6199
_cell_length_b 16.9575
_cell_length_c 11.3988
_cell_angle_alpha 90.00
_cell_angle_beta 90.00
_cell_angle_gamma 90.00
loop_
_atom_site_label
_atom_site_fract_x
_atom_site_fract_y
_atom_site_fract_z
Ac1 0.0000 0.0978 0.0000
Tb1 0.0000 0.2078 0.5530
Tb2 0.0000 0.4106 0.8686
Er1 0.0000 0.2598 0.2905
Er2 0.0000 0.4406 0.1785
```

---

Here is a relaxed structure of Nd2GeBi from Alexandria. Energies are from PBE.

## Properties
E_form ... -0.754 eV/atom
Mass density ... 7.52 g cm⁻³
Calculated volume ... 31.5 Å³/atom
Polymorph energy (0 for the lowest one) ... 0.0657 eV per atom

Cell and atoms, written as CIF:
```
data_Nd2GeBi
_chemical_formula_sum 'Nd4 Ge2 Bi2'
_symmetry_space_group_name_H-M 'C 1 2/m 1'
_symmetry_Int_Tables_number 12
_symmetry_space_group_name_Hall '-C 2y'
_cell_length_a 6.3105
_cell_length_b 6.3225
_cell_length_c 6.3064
_cell_angle_alpha 90.00
_cell_angle_beta 90.19
_cell_angle_gamma 90.00
loop_
_atom_site_label
_atom_site_fract_x
_atom_site_fract_y
_atom_site_fract_z
Nd1 0.0000 0.0000 0.0000
Nd2 0.0000 0.5000 0.5000
Ge1 0.0000 0.0000 0.5000
Bi1 0.0000 0.5000 0.0000
```

---

Here is a relaxed structure of PmPa5Sb6 from Alexandria. Energies are from PBE.

## Properties
Mass density ... 9.47 g cm⁻³
Calculated volume ... 29.7 Å³/atom
Formation energy without anion corrections ... -0.5538 eV per atom

Cell and atoms, written as CIF:
```
data_PmPa5Sb6
_chemical_formula_sum 'Pm2 Pa10 Sb12'
_symmetry_space_group_name_H-M 'C 1 2/m 1'
_symmetry_Int_Tables_number 12
_symmetry_space_group_name_Hall '-C 2y'
_cell_length_a 7.5786
_cell_length_b 13.1343
_cell_length_c 7.5863
_cell_angle_alpha 90.00
_cell_angle_beta 109.48
_cell_angle_gamma 90.00
loop_
_atom_site_label
_atom_site_fract_x
_atom_site_fract_y
_atom_site_fract_z
Pm1 0.0000 0.0000 0.0000
Pa1 0.0000 0.1635 0.5000
Pa2 0.0000 0.3324 0.0000
Pa3 0.0000 0.5000 0.5000
Sb1 0.2457 0.5000 0.2489
Sb2 0.2471 0.3318 0.7472
```

---

Here is a relaxed structure of Na12Sb3F5 from Alexandria. Energies are from PBE.

## Properties
Mass density ... 2.56 g cm⁻³
Calculated volume ... 23.8 Å³/atom
Formation energy without anion corrections ... -1.4175 eV per atom

Cell and atoms, written as CIF:
```
data_Na12Sb3F5
_chemical_formula_sum 'Na96 Sb24 F40'
_symmetry_space_group_name_H-M 'I a -3 d'
_symmetry_Int_Tables_number 230
_symmetry_space_group_name_Hall '-I 4bd 2c 3'
_cell_length_a 15.6230
_cell_length_b 15.6230
_cell_length_c 15.6230
_cell_angle_alpha 90.00
_cell_angle_beta 90.00
_cell_angle_gamma 90.00
loop_
_atom_site_label
_atom_site_fract_x
_atom_site_fract_y
_atom_site_fract_z
Na1 0.0350 0.0494 0.6487
Sb1 0.0000 0.2500 0.1250
F1 0.0000 0.0000 0.0000
F2 0.0000 0.2500 0.3750
```

---

Here is a relaxed structure of NaIn2Pb5 from Alexandria. Energies are from PBE.

## Properties
E_form ... -0.014 eV/atom
Mass density ... 8.96 g cm⁻³
Calculated volume ... 29.8 Å³/atom
Polymorph energy (0 for the lowest one) ... 0.0000 eV per atom

Cell and atoms, written as CIF:
```
data_NaIn2Pb5
_chemical_formula_sum 'Na1 In2 Pb5'
_symmetry_space_group_name_H-M 'P 1'
_symmetry_Int_Tables_number 1
_symmetry_space_group_name_Hall 'P 1'
_cell_length_a 6.7709
_cell_length_b 6.7712
_cell_length_c 6.7714
_cell_angle_alpha 108.53
_cell_angle_beta 108.21
_cell_angle_gamma 111.67
loop_
_atom_site_label
_atom_site_fract_x
_atom_site_fract_y
_atom_site_fract_z
Na1 0.0000 0.0000 0.0000
In1 0.0008 0.4981 0.4998
In2 0.5010 0.9984 0.5003
Pb1 0.0002 0.9974 0.4992
Pb2 0.4985 0.4979 0.0000
Pb3 0.4995 0.9984 0.0000
Pb4 0.5010 0.4982 0.5008
Pb5 0.9992 0.4998 0.0000
```

---

Here is a relaxed structure of Ca2CePmBi4 from Alexandria. Energies are from PBE.

## Properties
E_form ... -0.772 eV/atom
Mass density ... 7.25 g cm⁻³
Calculated volume ... 34.4 Å³/atom

Cell and atoms, written as CIF:
```
data_Ca2CePmBi4
_chemical_formula_sum 'Ca2 Ce1 Pm1 Bi4'
_symmetry_space_group_name_H-M 'P 1 2/m 1'
_symmetry_Int_Tables_number 10
_symmetry_space_group_name_Hall '-P 2y'
_cell_length_a 7.8832
_cell_length_b 4.6241
_cell_length_c 8.0257
_cell_angle_alpha 90.00
_cell_angle_beta 109.87
_cell_angle_gamma 90.00
loop_
_atom_site_label
_atom_site_fract_x
_atom_site_fract_y
_atom_site_fract_z
Ca1 0.0000 0.0000 0.0000
Ca2 0.0000 0.5000 0.5000
Ce1 0.5000 0.0000 0.5000
Pm1 0.5000 0.5000 0.0000
Bi1 0.2567 0.0000 0.7496
Bi2 0.2596 0.5000 0.2561
```

---

Which value of mass density does entry 4 give?
2.56 g cm⁻³